! TlFeAu2 | the Alexandria database | PBE | relaxed; values from VASP
! Formation energy from the elements in eV per atom: 0.32
! Space-group type: Imm2, No. 44
! Total energy in eV per atom: -4.03
&SYSTEM
  ibrav = 0, nat = 4, ntyp = 3
/
ATOMIC_SPECIES
Au 196.97 Au.upf
Fe 55.84 Fe.upf
Tl 204.38 Tl.upf
ATOMIC_POSITIONS angstrom
Au 8.281 4.969 0.000
Au 3.026 -0.662 1.297
Fe 4.225 2.536 0.000
Tl 1.785 2.015 1.326
CELL_PARAMETERS angstrom
5.670 -0.019 -0.029
2.651 5.012 0.029
-3.484 -3.624 2.623